1.
Density functional theory data (PBE) for a geometry-optimized LiTeCl4 structure.

## Properties
- calculated density (g/cm3) = 2.5

Unit cell a=6.564 b=4.347 c=14.267 alpha=90.00 beta=116.74 gamma=90.00
Space group P2_1/c (No. 14)
Asymmetric unit:
Li  0.000  0.000  0.000 x2
Te  0.500  0.000  0.500 x2
Cl  0.067  0.057  0.394 x4
Cl  0.433  0.589  0.610 x4

2.
Density functional theory data (PBE) for a geometry-optimized LiTeCl4 structure.

## Properties
- calculated density (g/cm3) = 2.8

Unit cell a=8.739 b=8.739 c=8.739 alpha=90.00 beta=90.00 gamma=90.00
Space group F-43m (No. 216)
Asymmetric unit:
Li  0.000  0.000  0.000 x4
Te  0.250  0.250  0.750 x4
Cl  0.125  0.125  0.375 x16

Which of them is most stable? Easy: 1.

1.
Density functional theory data (PBE) for a geometry-optimized Li2TiCl6 structure.

## Properties
- calculated density (g/cm3) = 2.3

Unit cell a=6.008 b=6.008 c=10.964 alpha=90.00 beta=90.00 gamma=90.00
Space group P4_2/mnm (No. 136)
Asymmetric unit:
Li  0.000  0.000  0.167 x4
Ti  0.000  0.000  0.500 x2
Cl  0.192  0.192  0.345 x8
Cl  0.219  0.219  0.000 x4

2.
Density functional theory data (PBE) for a geometry-optimized Li2TiCl6 structure.

## Properties
- calculated density (g/cm3) = 2.2

Unit cell a=6.260 b=6.065 c=12.374 alpha=90.00 beta=120.35 gamma=90.00
Space group P2_1/c (No. 14)
Asymmetric unit:
Li  0.178  0.000  0.178 x4
Ti  0.500  0.000  0.000 x2
Cl  0.185  0.224  0.843 x4
Cl  0.193  0.721  0.500 x4
Cl  0.498  0.223  0.157 x4

Which of them is most stable? Easy: 2.

1.
Density functional theory data (PBE) for a geometry-optimized LiTiCl4 structure.

## Properties
- calculated density (g/cm3) = 2.2

Unit cell a=6.376 b=3.534 c=6.499 alpha=90.00 beta=90.94 gamma=90.00
Space group P2/m (No. 10)
Asymmetric unit:
Li  0.000  0.000  0.000 x1
Ti  0.500  0.500  0.000 x1
Cl  0.186  0.500  0.798 x2
Cl  0.351  0.000  0.221 x2

2.
Density functional theory data (PBE) for a geometry-optimized LiTiCl4 structure.

## Properties
- calculated density (g/cm3) = 2.3

Unit cell a=7.244 b=14.339 c=6.062 alpha=90.00 beta=117.13 gamma=90.00
Space group C2/c (No. 15)
Asymmetric unit:
Li  0.000  0.208  0.250 x4
Ti  0.000  0.059  0.750 x4
Cl  0.211  0.177  0.702 x8
Cl  0.218  0.062  0.203 x8

Which of them is most stable? Easy: 1.

1.
Density functional theory data (PBE) for a geometry-optimized Li3TlCl structure.

## Properties
- calculated density (g/cm3) = 4.1

Unit cell a=4.710 b=4.710 c=4.710 alpha=90.00 beta=90.00 gamma=90.00
Space group Pm-3m (No. 221)
Asymmetric unit:
Li  0.000  0.000  0.500 x3
Tl  0.500  0.500  0.500 x1
Cl  0.000  0.000  0.000 x1

2.
Density functional theory data (PBE) for a geometry-optimized Li3TlCl structure.

## Properties
- calculated density (g/cm3) = 2.8

Unit cell a=5.371 b=5.371 c=5.371 alpha=90.00 beta=90.00 gamma=90.00
Space group Pm-3m (No. 221)
Asymmetric unit:
Li  0.000  0.000  0.500 x3
Tl  0.000  0.000  0.000 x1
Cl  0.500  0.500  0.500 x1

Which of them is most stable? Easy: 1.

1.
Density functional theory data (PBE) for a geometry-optimized LiTl3Cl structure.

## Properties
- calculated density (g/cm3) = 7.4

Unit cell a=5.279 b=5.279 c=5.279 alpha=90.00 beta=90.00 gamma=90.00
Space group Pm-3m (No. 221)
Asymmetric unit:
Li  0.000  0.000  0.000 x1
Tl  0.000  0.000  0.500 x3
Cl  0.500  0.500  0.500 x1

2.
Density functional theory data (PBE) for a geometry-optimized LiTl3Cl structure.

## Properties
- calculated density (g/cm3) = 5.4

Unit cell a=5.881 b=5.881 c=5.881 alpha=90.00 beta=90.00 gamma=90.00
Space group Pm-3m (No. 221)
Asymmetric unit:
Li  0.000  0.000  0.000 x1
Tl  0.000  0.500  0.500 x3
Cl  0.500  0.500  0.500 x1

Which of them is most stable? Easy: 1.

1.
Density functional theory data (PBE) for a geometry-optimized LiTlCl3 structure.

## Properties
- calculated density (g/cm3) = 3.2

Unit cell a=5.498 b=5.498 c=5.498 alpha=90.00 beta=90.00 gamma=90.00
Space group Pm-3m (No. 221)
Asymmetric unit:
Li  0.000  0.000  0.000 x1
Tl  0.500  0.500  0.500 x1
Cl  0.000  0.500  0.500 x3

2.
Density functional theory data (PBE) for a geometry-optimized LiTlCl3 structure.

## Properties
- calculated density (g/cm3) = 4.3

Unit cell a=4.968 b=4.968 c=4.968 alpha=90.00 beta=90.00 gamma=90.00
Space group Pm-3m (No. 221)
Asymmetric unit:
Li  0.000  0.000  0.000 x1
Tl  0.500  0.500  0.500 x1
Cl  0.000  0.000  0.500 x3

Which of them is most stable? Easy: 2.